1.
Computed, not measured: a relaxed structure of SiHg at the PBE level of DFT.

```
data_SiHg
_chemical_formula_sum 'Si6 Hg6'
_symmetry_space_group_name_H-M 'A m m 2'
_symmetry_Int_Tables_number 38
_cell_length_a 3.5333
_cell_length_b 10.3943
_cell_length_c 8.0269
_cell_angle_alpha 90.00
_cell_angle_beta 90.00
_cell_angle_gamma 90.00
loop_
_symmetry_equiv_pos_as_xyz
'x,y,z'
'-x,-y,z'
'-x,y,z'
'x,-y,z'
'x,y+1/2,z+1/2'
'-x,-y+1/2,z+1/2'
'-x,y+1/2,z+1/2'
'x,-y+1/2,z+1/2'
loop_
_atom_site_label
_atom_site_fract_x
_atom_site_fract_y
_atom_site_fract_z
Si1 0.0000 0.0000 0.0000
Si2 0.5000 0.1283 0.1167
Hg1 0.0000 0.0000 0.6746
Hg2 0.5000 0.1632 0.4338
```

Calculated values
As for the polymorph energy (0 for the lowest one): 135 meV/atom. Its density of states at the Fermi level is 3.5 states/eV/cell.

=====

2.
Computed, not measured: a relaxed structure of TlAgSn at the PBE level of DFT.

```
data_TlAgSn
_chemical_formula_sum 'Tl4 Ag4 Sn4'
_symmetry_space_group_name_H-M 'C 1 2/m 1'
_symmetry_Int_Tables_number 12
_cell_length_a 5.9434
_cell_length_b 9.4479
_cell_length_c 6.1053
_cell_angle_alpha 90.00
_cell_angle_beta 117.78
_cell_angle_gamma 90.00
loop_
_symmetry_equiv_pos_as_xyz
'x,y,z'
'-x,-y,-z'
'-x,y,-z'
'x,-y,z'
'x+1/2,y+1/2,z'
'-x+1/2,-y+1/2,-z'
'-x+1/2,y+1/2,-z'
'x+1/2,-y+1/2,z'
loop_
_atom_site_label
_atom_site_fract_x
_atom_site_fract_y
_atom_site_fract_z
Tl1 0.0000 0.1654 0.0000
Ag1 0.0000 0.2491 0.5000
Sn1 0.1516 0.5000 0.3042
```

Calculated values
As for the polymorph energy (0 for the lowest one): 2 meV/atom. As for the energy of formation: 0.034 eV/atom. Its density of states at the Fermi level is 4.7 states/eV/cell.